No. 1
! PBEsol TaRe2AgS, optimized geometry; values from VASP
&SYSTEM
  ibrav = 0, nat = 5, ntyp = 4
/
ATOMIC_SPECIES
Ta 180.95 Ta.upf
Re 186.21 Re.upf
Ag 107.87 Ag.upf
S 32.06 S.upf
CELL_PARAMETERS angstrom
4.338 0.000 0.000
0.000 4.338 0.000
0.000 0.000 4.463
ATOMIC_POSITIONS crystal
Ta 0.000 0.000 0.000
Re 0.000 0.500 0.500
Re 0.500 0.000 0.500
Ag 0.500 0.500 0.000
S 0.500 0.500 0.500
! density of states at the Fermi level: 0.78 states/eV per atom
! E_form (uncorrected): 5.312 eV per formula unit
! magnetic moment: 0.0 μB per formula unit

=====

No. 2
! PBEsol TlS2ClF, optimized geometry; values from VASP
&SYSTEM
  ibrav = 0, nat = 5, ntyp = 4
/
ATOMIC_SPECIES
Tl 204.38 Tl.upf
S 32.06 S.upf
Cl 35.45 Cl.upf
F 19.00 F.upf
CELL_PARAMETERS angstrom
4.151 0.000 0.000
0.000 4.151 0.000
0.000 0.000 5.989
ATOMIC_POSITIONS crystal
Tl 0.000 0.000 0.000
S 0.000 0.500 0.500
S 0.500 0.000 0.500
Cl 0.500 0.500 0.000
F 0.500 0.500 0.500
! density of states at the Fermi level: 1.03 states/eV per atom
! E_form (uncorrected): 0.632 eV per formula unit
! magnetic moment: 0.0 μB per formula unit

=====

No. 3
! PBEsol ScAuSe2Br, optimized geometry; values from VASP
&SYSTEM
  ibrav = 0, nat = 5, ntyp = 4
/
ATOMIC_SPECIES
Sc 44.96 Sc.upf
Au 196.97 Au.upf
Se 78.96 Se.upf
Br 79.90 Br.upf
CELL_PARAMETERS angstrom
5.108 0.000 0.000
0.000 5.108 0.000
0.000 0.000 5.016
ATOMIC_POSITIONS crystal
Sc 0.000 0.000 0.000
Au 0.500 0.500 0.500
Se 0.000 0.500 0.000
Se 0.500 0.000 0.000
Br 0.000 0.000 0.500
! density of states at the Fermi level: 0.96 states/eV per atom
! E_form (uncorrected): -0.978 eV per formula unit
! magnetic moment: 0.0 μB per formula unit

=====

No. 4
! PBEsol CsNaZrBr2, optimized geometry; values from VASP
&SYSTEM
  ibrav = 0, nat = 5, ntyp = 4
/
ATOMIC_SPECIES
Cs 132.91 Cs.upf
Na 22.99 Na.upf
Zr 91.22 Zr.upf
Br 79.90 Br.upf
CELL_PARAMETERS angstrom
6.311 0.000 0.000
0.000 6.311 0.000
0.000 0.000 5.969
ATOMIC_POSITIONS crystal
Cs 0.000 0.000 0.000
Na 0.000 0.000 0.500
Zr 0.500 0.500 0.500
Br 0.000 0.500 0.000
Br 0.500 0.000 0.000
! density of states at the Fermi level: 1.12 states/eV per atom
! E_form (uncorrected): 2.414 eV per formula unit
! magnetic moment: 3.3 μB per formula unit

=====

No. 5
! PBEsol Co3Ir, optimized geometry; values from VASP
&SYSTEM
  ibrav = 0, nat = 8, ntyp = 2
/
ATOMIC_SPECIES
Co 58.93 Co.upf
Ir 192.22 Ir.upf
CELL_PARAMETERS angstrom
5.064 0.000 0.000
0.000 7.054 0.000
0.000 0.000 2.563
ATOMIC_POSITIONS crystal
Co 0.000 0.000 0.000
Co 0.250 0.250 0.500
Co 0.250 0.750 0.500
Co 0.500 0.500 0.000
Co 0.750 0.250 0.500
Co 0.750 0.750 0.500
Ir 0.000 0.500 0.000
Ir 0.500 0.000 0.000
! density of states at the Fermi level: 1.53 states/eV per atom
! magnetic moment: 4.8 μB per formula unit
! formation energy from the elements: 0.05 eV/atom

=====

No. 6
! PBEsol Bi2PbBr, optimized geometry; values from VASP
&SYSTEM
  ibrav = 0, nat = 16, ntyp = 3
/
ATOMIC_SPECIES
Bi 208.98 Bi.upf
Pb 207.20 Pb.upf
Br 79.90 Br.upf
CELL_PARAMETERS angstrom
7.656 0.000 0.000
0.000 7.656 0.000
0.000 0.000 7.656
ATOMIC_POSITIONS crystal
Bi 0.250 0.250 0.250
Bi 0.250 0.250 0.750
Bi 0.250 0.750 0.250
Bi 0.250 0.750 0.750
Bi 0.750 0.250 0.250
Bi 0.750 0.250 0.750
Bi 0.750 0.750 0.250
Bi 0.750 0.750 0.750
Pb 0.000 0.000 0.000
Pb 0.000 0.500 0.500
Pb 0.500 0.000 0.500
Pb 0.500 0.500 0.000
Br 0.000 0.000 0.500
Br 0.000 0.500 0.000
Br 0.500 0.000 0.000
Br 0.500 0.500 0.500
! density of states at the Fermi level: 0.44 states/eV per atom
! E_form (uncorrected): -0.085 eV per formula unit
! magnetic moment: 0.0 μB per formula unit

=====

No. 7
! PBEsol LiHfPd2, optimized geometry; values from VASP
&SYSTEM
  ibrav = 0, nat = 16, ntyp = 3
/
ATOMIC_SPECIES
Li 6.94 Li.upf
Hf 178.49 Hf.upf
Pd 106.42 Pd.upf
CELL_PARAMETERS angstrom
6.294 0.000 0.000
0.000 6.294 0.000
0.000 0.000 6.294
ATOMIC_POSITIONS crystal
Li 0.000 0.000 0.000
Li 0.000 0.500 0.500
Li 0.500 0.000 0.500
Li 0.500 0.500 0.000
Hf 0.000 0.000 0.500
Hf 0.000 0.500 0.000
Hf 0.500 0.000 0.000
Hf 0.500 0.500 0.500
Pd 0.250 0.250 0.250
Pd 0.250 0.250 0.750
Pd 0.250 0.750 0.250
Pd 0.250 0.750 0.750
Pd 0.750 0.250 0.250
Pd 0.750 0.250 0.750
Pd 0.750 0.750 0.250
Pd 0.750 0.750 0.750
! density of states at the Fermi level: 0.58 states/eV per atom
! magnetic moment: 0.0 μB per formula unit
! formation energy from the elements: -0.61 eV/atom

=====

No. 8
! PBEsol CrSb2RhI, optimized geometry; values from VASP
&SYSTEM
  ibrav = 0, nat = 5, ntyp = 4
/
ATOMIC_SPECIES
Cr 52.00 Cr.upf
Sb 121.76 Sb.upf
Rh 102.91 Rh.upf
I 126.90 I.upf
CELL_PARAMETERS angstrom
4.878 0.000 0.000
0.000 4.878 0.000
0.000 0.000 5.130
ATOMIC_POSITIONS crystal
Cr 0.000 0.000 0.000
Sb 0.000 0.500 0.000
Sb 0.500 0.000 0.000
Rh 0.500 0.500 0.500
I 0.000 0.000 0.500
! density of states at the Fermi level: 0.97 states/eV per atom
! E_form (uncorrected): 4.898 eV per formula unit
! magnetic moment: 1.6 μB per formula unit

=====

No. 9
! PBEsol Sc4Tc3, optimized geometry; values from VASP
&SYSTEM
  ibrav = 0, nat = 14, ntyp = 2
/
ATOMIC_SPECIES
Sc 44.96 Sc.upf
Tc 98.00 Tc.upf
CELL_PARAMETERS angstrom
3.136 0.000 0.000
0.000 3.136 0.000
0.000 0.000 26.328
ATOMIC_POSITIONS crystal
Sc 0.000 0.000 0.059
Sc 0.000 0.000 0.342
Sc 0.000 0.000 0.658
Sc 0.000 0.000 0.941
Sc 0.500 0.500 0.158
Sc 0.500 0.500 0.441
Sc 0.500 0.500 0.559
Sc 0.500 0.500 0.842
Tc 0.000 0.000 0.223
Tc 0.000 0.000 0.500
Tc 0.000 0.000 0.777
Tc 0.500 0.500 0.000
Tc 0.500 0.500 0.277
Tc 0.500 0.500 0.723
! density of states at the Fermi level: 0.72 states/eV per atom
! magnetic moment: 0.0 μB per formula unit
! formation energy from the elements: -0.12 eV/atom

=====

No. 10
! PBEsol BeAgPt2, optimized geometry; values from VASP
&SYSTEM
  ibrav = 0, nat = 4, ntyp = 3
/
ATOMIC_SPECIES
Be 9.01 Be.upf
Ag 107.87 Ag.upf
Pt 195.08 Pt.upf
CELL_PARAMETERS angstrom
2.769 0.000 0.000
0.000 2.769 0.000
0.000 0.000 7.016
ATOMIC_POSITIONS crystal
Be 0.000 0.000 0.000
Ag 0.000 0.000 0.500
Pt 0.500 0.500 0.201
Pt 0.500 0.500 0.799
! density of states at the Fermi level: 0.40 states/eV per atom
! magnetic moment: 0.0 μB per formula unit
! formation energy from the elements: -0.42 eV/atom

=====

No. 11
! PBEsol TaMn2Mo, optimized geometry; values from VASP
&SYSTEM
  ibrav = 0, nat = 12, ntyp = 3
/
ATOMIC_SPECIES
Ta 180.95 Ta.upf
Mn 54.94 Mn.upf
Mo 95.94 Mo.upf
CELL_PARAMETERS angstrom
2.873 0.000 0.000
-1.437 2.489 0.000
0.000 0.000 23.274
ATOMIC_POSITIONS crystal
Ta 0.000 0.000 0.000
Ta 0.333 0.667 0.667
Ta 0.667 0.333 0.333
Mn 0.000 0.000 0.247
Mn 0.000 0.000 0.753
Mn 0.333 0.667 0.419
Mn 0.333 0.667 0.914
Mn 0.667 0.333 0.086
Mn 0.667 0.333 0.581
Mo 0.000 0.000 0.500
Mo 0.333 0.667 0.167
Mo 0.667 0.333 0.833
! density of states at the Fermi level: 1.05 states/eV per atom
! magnetic moment: 0.0 μB per formula unit
! energy above the most stable polymorph in this dataset: 276 meV/atom
! formation energy from the elements: 0.36 eV/atom

=====

No. 12
! PBEsol NiMo2Os, optimized geometry; values from VASP
&SYSTEM
  ibrav = 0, nat = 8, ntyp = 3
/
ATOMIC_SPECIES
Ni 58.69 Ni.upf
Mo 95.94 Mo.upf
Os 190.23 Os.upf
CELL_PARAMETERS angstrom
5.334 0.000 0.000
0.000 7.604 0.000
0.000 0.000 2.724
ATOMIC_POSITIONS crystal
Ni 0.000 0.000 0.000
Ni 0.500 0.500 0.000
Mo 0.250 0.250 0.500
Mo 0.250 0.750 0.500
Mo 0.750 0.250 0.500
Mo 0.750 0.750 0.500
Os 0.000 0.500 0.000
Os 0.500 0.000 0.000
! density of states at the Fermi level: 0.78 states/eV per atom
! magnetic moment: 0.0 μB per formula unit
! energy above the most stable polymorph in this dataset: 46 meV/atom
! formation energy from the elements: 0.03 eV/atom

=====

No. 13
! PBEsol Rb3TbF6, optimized geometry; values from VASP
&SYSTEM
  ibrav = 0, nat = 10, ntyp = 3
/
ATOMIC_SPECIES
Rb 85.47 Rb.upf
Tb 158.93 Tb.upf
F 19.00 F.upf
CELL_PARAMETERS angstrom
-3.517 3.517 4.759
3.517 -3.517 4.759
3.517 3.517 -4.759
ATOMIC_POSITIONS crystal
Rb 0.000 0.000 0.000
Rb 0.250 0.750 0.500
Rb 0.750 0.250 0.500
Tb 0.500 0.500 0.000
F 0.193 0.500 0.693
F 0.269 0.269 0.000
F 0.500 0.193 0.693
F 0.500 0.807 0.307
F 0.731 0.731 0.000
F 0.807 0.500 0.307
! density of states at the Fermi level: 0.00 states/eV per atom
! E_form (uncorrected): -32.314 eV per formula unit
! magnetic moment: 0.0 μB per formula unit

=====

No. 14
! PBEsol TlReSe, optimized geometry; values from VASP
&SYSTEM
  ibrav = 0, nat = 12, ntyp = 3
/
ATOMIC_SPECIES
Tl 204.38 Tl.upf
Re 186.21 Re.upf
Se 78.96 Se.upf
CELL_PARAMETERS angstrom
6.319 0.000 0.000
0.000 6.319 0.000
0.000 0.000 6.319
ATOMIC_POSITIONS crystal
Tl 0.000 0.000 0.000
Tl 0.000 0.500 0.500
Tl 0.500 0.000 0.500
Tl 0.500 0.500 0.000
Re 0.000 0.000 0.500
Re 0.000 0.500 0.000
Re 0.500 0.000 0.000
Re 0.500 0.500 0.500
Se 0.250 0.250 0.250
Se 0.250 0.750 0.750
Se 0.750 0.250 0.750
Se 0.750 0.750 0.250
! density of states at the Fermi level: 1.20 states/eV per atom
! E_form (uncorrected): 4.220 eV per formula unit
! magnetic moment: 0.5 μB per formula unit

=====

No. 15
! PBEsol Li2CuRh, optimized geometry; values from VASP
&SYSTEM
  ibrav = 0, nat = 4, ntyp = 3
/
ATOMIC_SPECIES
Li 6.94 Li.upf
Cu 63.55 Cu.upf
Rh 102.91 Rh.upf
CELL_PARAMETERS angstrom
2.551 0.000 0.000
0.000 4.279 0.000
-0.272 0.000 4.581
ATOMIC_POSITIONS crystal
Li 0.213 0.000 0.241
Li 0.787 0.000 0.759
Cu 0.000 0.500 0.500
Rh 0.500 0.500 0.000
! density of states at the Fermi level: 0.67 states/eV per atom
! magnetic moment: 0.0 μB per formula unit
! energy above the most stable polymorph in this dataset: 20 meV/atom
! formation energy from the elements: -0.05 eV/atom

=====

No. 16
! PBEsol ScAlTl2, optimized geometry; values from VASP
&SYSTEM
  ibrav = 0, nat = 4, ntyp = 3
/
ATOMIC_SPECIES
Sc 44.96 Sc.upf
Al 26.98 Al.upf
Tl 204.38 Tl.upf
CELL_PARAMETERS angstrom
3.172 0.000 0.000
0.000 4.850 0.000
-0.116 0.000 5.826
ATOMIC_POSITIONS crystal
Sc 0.000 0.000 0.000
Al 0.500 0.000 0.500
Tl 0.366 0.500 0.753
Tl 0.634 0.500 0.247
! density of states at the Fermi level: 0.81 states/eV per atom
! magnetic moment: 0.1 μB per formula unit
! energy above the most stable polymorph in this dataset: 101 meV/atom
! formation energy from the elements: -0.03 eV/atom

=====

No. 17
! PBEsol Sr3WN3, optimized geometry; values from VASP
&SYSTEM
  ibrav = 0, nat = 14, ntyp = 3
/
ATOMIC_SPECIES
Sr 87.62 Sr.upf
W 183.84 W.upf
N 14.01 N.upf
CELL_PARAMETERS angstrom
7.869 0.000 0.000
-3.934 6.814 0.000
0.000 0.000 5.300
ATOMIC_POSITIONS crystal
Sr 0.096 0.744 0.250
Sr 0.256 0.352 0.250
Sr 0.352 0.096 0.750
Sr 0.648 0.904 0.250
Sr 0.744 0.648 0.750
Sr 0.904 0.256 0.750
W 0.333 0.667 0.750
W 0.667 0.333 0.250
N 0.113 0.695 0.750
N 0.305 0.418 0.750
N 0.418 0.113 0.250
N 0.582 0.887 0.750
N 0.695 0.582 0.250
N 0.887 0.305 0.250
! density of states at the Fermi level: 0.23 states/eV per atom
! E_form (uncorrected): -6.215 eV per formula unit
! magnetic moment: 0.0 μB per formula unit

=====

No. 18
! PBEsol Be2Re2Si, optimized geometry; values from VASP
&SYSTEM
  ibrav = 0, nat = 10, ntyp = 3
/
ATOMIC_SPECIES
Be 9.01 Be.upf
Re 186.21 Re.upf
Si 28.09 Si.upf
CELL_PARAMETERS angstrom
5.810 0.000 0.000
0.000 5.810 0.000
0.000 0.000 3.180
ATOMIC_POSITIONS crystal
Be 0.120 0.380 0.000
Be 0.380 0.880 0.000
Be 0.620 0.120 0.000
Be 0.880 0.620 0.000
Re 0.178 0.678 0.500
Re 0.322 0.178 0.500
Re 0.678 0.822 0.500
Re 0.822 0.322 0.500
Si 0.000 0.000 0.000
Si 0.500 0.500 0.000
! density of states at the Fermi level: 0.18 states/eV per atom
! E_form (uncorrected): -1.590 eV per formula unit
! magnetic moment: 0.0 μB per formula unit

=====

No. 19
! PBEsol ZnSiPb2, optimized geometry; values from VASP
&SYSTEM
  ibrav = 0, nat = 8, ntyp = 3
/
ATOMIC_SPECIES
Zn 65.41 Zn.upf
Si 28.09 Si.upf
Pb 207.20 Pb.upf
CELL_PARAMETERS angstrom
4.235 0.000 0.000
0.000 4.235 0.000
0.000 0.000 10.291
ATOMIC_POSITIONS crystal
Zn 0.000 0.000 0.000
Zn 0.500 0.500 0.500
Si 0.000 0.500 0.750
Si 0.500 0.000 0.250
Pb 0.000 0.000 0.500
Pb 0.000 0.500 0.250
Pb 0.500 0.000 0.750
Pb 0.500 0.500 0.000
! density of states at the Fermi level: 0.46 states/eV per atom
! E_form (uncorrected): 1.517 eV per formula unit
! magnetic moment: 0.0 μB per formula unit
! energy above the most stable polymorph in this dataset: 81 meV/atom

=====

No. 20
! PBEsol ZnReCl, optimized geometry; values from VASP
&SYSTEM
  ibrav = 0, nat = 6, ntyp = 3
/
ATOMIC_SPECIES
Zn 65.41 Zn.upf
Re 186.21 Re.upf
Cl 35.45 Cl.upf
CELL_PARAMETERS angstrom
2.900 0.000 0.000
0.000 2.900 0.000
0.000 0.000 11.786
ATOMIC_POSITIONS crystal
Zn 0.000 0.000 0.000
Zn 0.500 0.500 0.500
Re 0.000 0.000 0.364
Re 0.500 0.500 0.864
Cl 0.000 0.000 0.732
Cl 0.500 0.500 0.232
! density of states at the Fermi level: 0.61 states/eV per atom
! E_form (uncorrected): 1.838 eV per formula unit
! magnetic moment: 0.0 μB per formula unit